[1]
# LaTaOs2 | the Alexandria database | PBE | relaxed
# **N(E_F)**: 7.98 states/eV/cell
# **Raw total energy**: -9.49 eV per atom
# **Theoretical density**: 14.959 g/cm3
data_LaTaOs2
_cell_length_a 2.957
_cell_length_b 4.850
_cell_length_c 10.842
_cell_angle_alpha 90.00
_cell_angle_beta 90.00
_cell_angle_gamma 90.00
_space_group_name_H-M_alt 'I m m 2'
_space_group_IT_number 44
loop_
_space_group_symop_operation_xyz
'x,y,z'
'-x,-y,z'
'-x,y,z'
'x,-y,z'
'x+1/2,y+1/2,z+1/2'
'-x+1/2,-y+1/2,z+1/2'
'-x+1/2,y+1/2,z+1/2'
'x+1/2,-y+1/2,z+1/2'
loop_
_atom_site_label
_atom_site_fract_x
_atom_site_fract_y
_atom_site_fract_z
_atom_site_occupancy
La1 0.000 0.000 0.000 1
Ta1 0.000 0.500 0.208 1
Os1 0.000 0.000 0.475 1
Os2 0.000 0.500 0.776 1



[2]
# ZrNi4Os | the Alexandria database | PBE | relaxed
# **N(E_F)**: 37.87 states/eV/cell
# **Raw total energy**: -7.35 eV per atom
# **Theoretical density**: 11.047 g/cm3
data_ZrNi4Os
_cell_length_a 6.771
_cell_length_b 6.771
_cell_length_c 6.771
_cell_angle_alpha 90.00
_cell_angle_beta 90.00
_cell_angle_gamma 90.00
_space_group_name_H-M_alt 'F -4 3 m'
_space_group_IT_number 216
_space_group_name_Hall 'F -4 2 3'
loop_
_atom_site_label
_atom_site_fract_x
_atom_site_fract_y
_atom_site_fract_z
_atom_site_occupancy
Zr1 0.000 0.000 0.000 1
Ni1 0.124 0.124 0.624 1
Os1 0.250 0.250 0.250 1



[3]
# KZnFe2 | the Alexandria database | PBE | relaxed
# **N(E_F)**: 5.98 states/eV/cell
# **Raw total energy**: -4.29 eV per atom
# **Theoretical density**: 3.793 g/cm3
data_KZnFe2
_cell_length_a 7.317
_cell_length_b 4.212
_cell_length_c 6.590
_cell_angle_alpha 90.00
_cell_angle_beta 111.25
_cell_angle_gamma 90.00
_space_group_name_H-M_alt 'C 1 2/m 1'
_space_group_IT_number 12
loop_
_space_group_symop_operation_xyz
'x,y,z'
'-x,-y,-z'
'-x,y,-z'
'x,-y,z'
'x+1/2,y+1/2,z'
'-x+1/2,-y+1/2,-z'
'-x+1/2,y+1/2,-z'
'x+1/2,-y+1/2,z'
loop_
_atom_site_label
_atom_site_fract_x
_atom_site_fract_y
_atom_site_fract_z
_atom_site_occupancy
K1 0.000 0.000 0.000 1
Zn1 0.000 0.500 0.500 1
Fe1 0.186 0.000 0.556 1



[4]
# UFeCoSi3 | the Alexandria database | PBE | relaxed
# **N(E_F)**: 30.46 states/eV/cell
# **E_form (uncorrected)**: -0.152 eV per atom
# **Raw total energy**: -7.34 eV per atom
# **Theoretical density**: 7.553 g/cm3
data_UFeCoSi3
_cell_length_a 6.956
_cell_length_b 10.017
_cell_length_c 5.516
_cell_angle_alpha 90.00
_cell_angle_beta 90.00
_cell_angle_gamma 90.00
_space_group_name_H-M_alt 'C m c m'
_space_group_IT_number 63
_space_group_name_Hall '-C 2c 2'
loop_
_atom_site_label
_atom_site_fract_x
_atom_site_fract_y
_atom_site_fract_z
_atom_site_occupancy
U1 0.000 0.242 0.250 1
Fe1 0.000 0.034 0.750 1
Co1 0.000 0.461 0.750 1
Si1 0.000 0.249 0.750 1
Si2 0.248 0.500 0.000 1



[5]
# CeTmCuIr | the Alexandria database | PBE | relaxed
# **N(E_F)**: 18.70 states/eV/cell
# **Raw total energy**: -6.36 eV per atom
# **Theoretical density**: 11.346 g/cm3
data_CeTmCuIr
_cell_length_a 6.915
_cell_length_b 6.915
_cell_length_c 6.915
_cell_angle_alpha 90.00
_cell_angle_beta 90.00
_cell_angle_gamma 90.00
_space_group_name_H-M_alt 'F -4 3 m'
_space_group_IT_number 216
_space_group_name_Hall 'F -4 2 3'
loop_
_atom_site_label
_atom_site_fract_x
_atom_site_fract_y
_atom_site_fract_z
_atom_site_occupancy
Ce1 0.000 0.000 0.000 1
Tm1 0.000 0.000 0.500 1
Cu1 0.250 0.250 0.250 1
Ir1 0.250 0.250 0.750 1



[6]
# LiPr4Hg2 | the Alexandria database | PBE | relaxed
# **N(E_F)**: 10.10 states/eV/cell
# **Relative energy among the computed polymorphs**: 0.0 meV per atom
# **Raw total energy**: -3.25 eV per atom
# **Theoretical density**: 7.383 g/cm3
data_LiPr4Hg2
_cell_length_a 5.328
_cell_length_b 5.328
_cell_length_c 7.699
_cell_angle_alpha 90.00
_cell_angle_beta 90.00
_cell_angle_gamma 90.00
_space_group_name_H-M_alt 'P 4/m m m'
_space_group_IT_number 123
_space_group_name_Hall '-P 4 2'
loop_
_atom_site_label
_atom_site_fract_x
_atom_site_fract_y
_atom_site_fract_z
_atom_site_occupancy
Li1 0.000 0.000 0.000 1
Pr1 0.000 0.500 0.257 1
Hg1 0.000 0.000 0.500 1
Hg2 0.500 0.500 0.000 1



[7]
# Ca2IrOs | the Alexandria database | PBE | relaxed
# **N(E_F)**: 3.59 states/eV/cell
# **Relative energy among the computed polymorphs**: 375.0 meV per atom
# **Raw total energy**: -5.65 eV per atom
# **Theoretical density**: 9.877 g/cm3
data_Ca2IrOs
_cell_length_a 3.001
_cell_length_b 3.001
_cell_length_c 8.633
_cell_angle_alpha 90.00
_cell_angle_beta 90.00
_cell_angle_gamma 90.00
_space_group_name_H-M_alt 'P 4/m m m'
_space_group_IT_number 123
_space_group_name_Hall '-P 4 2'
loop_
_atom_site_label
_atom_site_fract_x
_atom_site_fract_y
_atom_site_fract_z
_atom_site_occupancy
Ca1 0.000 0.000 0.240 1
Ir1 0.500 0.500 0.000 1
Os1 0.500 0.500 0.500 1



[8]
# Cd2HgRu | the Alexandria database | PBE | relaxed
# **N(E_F)**: 2.30 states/eV/cell
# **Raw total energy**: -2.62 eV per atom
# **Theoretical density**: 11.704 g/cm3
data_Cd2HgRu
_cell_length_a 4.231
_cell_length_b 4.231
_cell_length_c 4.172
_cell_angle_alpha 90.00
_cell_angle_beta 90.00
_cell_angle_gamma 90.00
_space_group_name_H-M_alt 'P 4/m m m'
_space_group_IT_number 123
_space_group_name_Hall '-P 4 2'
loop_
_atom_site_label
_atom_site_fract_x
_atom_site_fract_y
_atom_site_fract_z
_atom_site_occupancy
Cd1 0.000 0.500 0.000 1
Hg1 0.000 0.000 0.500 1
Ru1 0.500 0.500 0.500 1



Question: theoretical density of number 7 (Ca2IrOs)?
Answer: 9.877 g/cm3



Question: Number 5 is which compound?
Answer: CeTmCuIr



Question: Which value of N(E_F) does entry 3 give?
Answer: 5.98 states/eV/cell